VASP calculation (PBE with a Hubbard U) on a relaxed Co3OF5 crystal.

## Properties
Symmetry: C2/m, No. 12
VASP energy: -5.145 eV per atom
Magnetization: 12.003 μB per cell

Cell lengths 5.7057, 5.7057, 7.1252 Å; angles 106.29, 106.29, 73.47 degrees
Fractional coordinates of all 18 atoms:
Co 0.0000 0.0000 0.0000
Co 0.0000 0.0000 0.5000
Co 0.3157 0.3157 0.3440
Co 0.3370 0.3370 0.8331
Co 0.6630 0.6630 0.1669
Co 0.6843 0.6843 0.6560
O 0.0739 0.0739 0.2832
O 0.9261 0.9261 0.7168
F 0.0225 0.6283 0.3447
F 0.2297 0.2297 0.0356
F 0.3006 0.6994 0.0000
F 0.3717 0.9775 0.6553
F 0.4478 0.4478 0.6378
F 0.5522 0.5522 0.3622
F 0.6283 0.0225 0.3447
F 0.6994 0.3006 0.0000
F 0.7703 0.7703 0.9644
F 0.9775 0.3717 0.6553